# 1
## Ac3Mg3Cd8 (PBE)

Data for a geometry-optimized Ac3Mg3Cd8 structure.

Results
Total magnetic moment ... 0.00 μB per atom
VASP energy ... -2.028 eV/atom
ΔH_f (0 K) ... -3.96 eV/f.u.
Density ... 7.2 g/cm³

Geometry as CIF:
```
data_Ac3Mg3Cd8
_space_group_name_H-M_alt 'I m m m'
_space_group_IT_number 71
_space_group_name_Hall '-I 2 2'
_cell_length_a 5.085
_cell_length_b 10.031
_cell_length_c 14.858
_cell_angle_alpha 90.00
_cell_angle_beta 90.00
_cell_angle_gamma 90.00
loop_
_atom_site_label
_atom_site_fract_x
_atom_site_fract_y
_atom_site_fract_z
_atom_site_occupancy
Ac1 0.000 0.000 0.000 1
Ac2 0.000 0.000 0.291 1
Mg1 0.000 0.180 0.500 1
Mg2 0.000 0.500 0.000 1
Cd1 0.000 0.286 0.138 1
Cd2 0.000 0.357 0.343 1
```

***

# 2
## TbPr2ErSe4 (PBE)

Data for a geometry-optimized TbPr2ErSe4 structure.

Results
Total magnetic moment ... 0.00 μB per atom
VASP energy ... -5.882 eV/atom
Density ... 7.5 g/cm³
Energy relative to the elements, uncorrected ... -14.368 eV/f.u.

Geometry as CIF:
```
data_TbPr2ErSe4
_space_group_name_H-M_alt 'P 1 2/m 1'
_space_group_IT_number 10
_space_group_name_Hall '-P 2y'
_cell_length_a 7.129
_cell_length_b 4.088
_cell_length_c 7.406
_cell_angle_alpha 90.00
_cell_angle_beta 108.51
_cell_angle_gamma 90.00
loop_
_atom_site_label
_atom_site_fract_x
_atom_site_fract_y
_atom_site_fract_z
_atom_site_occupancy
Tb1 0.000 0.000 0.000 1
Pr1 0.000 0.500 0.500 1
Pr2 0.500 0.000 0.500 1
Er1 0.500 0.500 0.000 1
Se1 0.247 0.500 0.232 1
Se2 0.260 0.000 0.770 1
```

***

# 3
## Al2In3Ga9 (PBE)

Data for a geometry-optimized Al2In3Ga9 structure.

Results
Total magnetic moment ... 0.00 μB per atom
VASP energy ... -3.039 eV/atom
ΔH_f (0 K) ... 0.40 eV/f.u.
Density ... 5.9 g/cm³

Geometry as CIF:
```
data_Al2In3Ga9
_space_group_name_H-M_alt 'I m m m'
_space_group_IT_number 71
_space_group_name_Hall '-I 2 2'
_cell_length_a 4.133
_cell_length_b 11.005
_cell_length_c 12.591
_cell_angle_alpha 90.00
_cell_angle_beta 90.00
_cell_angle_gamma 90.00
loop_
_atom_site_label
_atom_site_fract_x
_atom_site_fract_y
_atom_site_fract_z
_atom_site_occupancy
Al1 0.000 0.182 0.000 1
In1 0.000 0.000 0.199 1
In2 0.000 0.000 0.500 1
Ga1 0.000 0.290 0.349 1
Ga2 0.000 0.375 0.144 1
Ga3 0.000 0.500 0.500 1
```

***

# 4
## Tb3Ni (PBE)

Data for a geometry-optimized Tb3Ni structure.

Results
Total magnetic moment ... 0.00 μB per atom
VASP energy ... -5.157 eV/atom
ΔH_f (0 K) ... -0.95 eV/f.u.
Density ... 8.5 g/cm³

Geometry as CIF:
```
data_Tb3Ni
_space_group_name_H-M_alt 'P n m a'
_space_group_IT_number 62
_space_group_name_Hall '-P 2ac 2n'
_cell_length_a 6.869
_cell_length_b 9.631
_cell_length_c 6.340
_cell_angle_alpha 90.00
_cell_angle_beta 90.00
_cell_angle_gamma 90.00
loop_
_atom_site_label
_atom_site_fract_x
_atom_site_fract_y
_atom_site_fract_z
_atom_site_occupancy
Tb1 0.034 0.250 0.141 1
Tb2 0.178 0.066 0.677 1
Ni1 0.111 0.750 0.443 1
```

***

# 5
## SiIO2F (PBE)

Data for a geometry-optimized SiIO2F structure.

Results
Total magnetic moment ... 0.44 μB per atom
VASP energy ... -2.908 eV/atom
Density ... 4.1 g/cm³
Energy relative to the elements, uncorrected ... 4.223 eV/f.u.

Geometry as CIF:
```
data_SiIO2F
_space_group_name_H-M_alt 'P 4/m m m'
_space_group_IT_number 123
_space_group_name_Hall '-P 4 2'
_cell_length_a 4.471
_cell_length_b 4.471
_cell_length_c 4.158
_cell_angle_alpha 90.00
_cell_angle_beta 90.00
_cell_angle_gamma 90.00
loop_
_atom_site_label
_atom_site_fract_x
_atom_site_fract_y
_atom_site_fract_z
_atom_site_occupancy
Si1 0.000 0.000 0.000 1
I1 0.500 0.500 0.000 1
O1 0.000 0.500 0.500 1
F1 0.500 0.500 0.500 1
```

***

# 6
## Tb4Cd3Os (PBE)

Data for a geometry-optimized Tb4Cd3Os structure.

Results
Total magnetic moment ... 0.06 μB per atom
VASP energy ... -4.359 eV/atom
ΔH_f (0 K) ... -2.37 eV/f.u.
Density ... 9.7 g/cm³

Geometry as CIF:
```
data_Tb4Cd3Os
_space_group_name_H-M_alt 'P 4/m m m'
_space_group_IT_number 123
_space_group_name_Hall '-P 4 2'
_cell_length_a 3.493
_cell_length_b 3.493
_cell_length_c 16.318
_cell_angle_alpha 90.00
_cell_angle_beta 90.00
_cell_angle_gamma 90.00
loop_
_atom_site_label
_atom_site_fract_x
_atom_site_fract_y
_atom_site_fract_z
_atom_site_occupancy
Tb1 0.000 0.000 0.101 1
Tb2 0.000 0.000 0.368 1
Cd1 0.500 0.500 0.240 1
Cd2 0.500 0.500 0.500 1
Os1 0.500 0.500 0.000 1
```

***

# 7
## Ac2PmSm5Dy (PBE)

Data for a geometry-optimized Ac2PmSm5Dy structure.

Results
Total magnetic moment ... 0.00 μB per atom
VASP energy ... -4.434 eV/atom
ΔH_f (0 K) ... 1.26 eV/f.u.
Density ... 7.6 g/cm³

Geometry as CIF:
```
data_Ac2PmSm5Dy
_space_group_name_H-M_alt 'C m c 21'
_space_group_IT_number 36
_space_group_name_Hall 'C 2c -2'
_cell_length_a 5.836
_cell_length_b 20.491
_cell_length_c 11.026
_cell_angle_alpha 90.00
_cell_angle_beta 90.00
_cell_angle_gamma 90.00
loop_
_atom_site_label
_atom_site_fract_x
_atom_site_fract_y
_atom_site_fract_z
_atom_site_occupancy
Ac1 0.000 0.111 0.000 1
Ac2 0.000 0.119 0.591 1
Pm1 0.000 0.208 0.273 1
Sm1 0.000 0.021 0.294 1
Sm2 0.000 0.285 0.569 1
Sm3 0.000 0.296 0.966 1
Sm4 0.000 0.398 0.292 1
Sm5 0.000 0.479 0.009 1
Dy1 0.000 0.411 0.731 1
```

***

# 8
## Ca2Tl (PBE)

Data for a geometry-optimized Ca2Tl structure.

Results
Total magnetic moment ... 0.00 μB per atom
VASP energy ... -2.393 eV/atom
ΔH_f (0 K) ... -0.81 eV/f.u.
Density ... 4.5 g/cm³

Geometry as CIF:
```
data_Ca2Tl
_space_group_name_H-M_alt 'C 1 m 1'
_space_group_IT_number 8
_space_group_name_Hall 'C -2y'
_cell_length_a 12.389
_cell_length_b 4.149
_cell_length_c 8.131
_cell_angle_alpha 90.00
_cell_angle_beta 90.05
_cell_angle_gamma 90.00
loop_
_atom_site_label
_atom_site_fract_x
_atom_site_fract_y
_atom_site_fract_z
_atom_site_occupancy
Ca1 0.000 0.000 0.000 1
Ca2 0.064 0.000 0.501 1
Ca3 0.229 0.500 0.187 1
Ca4 0.335 0.000 0.686 1
Tl1 0.144 0.500 0.788 1
Tl2 0.421 0.000 0.288 1
```